DFT (PBE with a Hubbard U) results for a geometry-optimized TmTl2FeO6 structure.

## Properties
Magnetic moment   1.003 μB/f.u.
Space-group type   R3
E   -58.6 eV for the cell shown

```
data_TmTl2FeO6
_space_group_name_H-M_alt 'P 1'
_space_group_IT_number 1
_space_group_name_Hall 'P 1'
_cell_length_a 5.5667
_cell_length_b 5.5667
_cell_length_c 5.7896
_cell_angle_alpha 61.26
_cell_angle_beta 61.26
_cell_angle_gamma 60.00
loop_
_atom_site_label
_atom_site_fract_x
_atom_site_fract_y
_atom_site_fract_z
Tl1 0.5455 0.5455 0.3634
Tl2 0.0350 0.0351 0.8949
O1 0.5714 0.1955 0.2609
O2 0.6660 0.1070 0.7901
O3 0.1955 0.9721 0.2609
O4 0.4369 0.6660 0.7901
O5 0.1070 0.4369 0.7901
O6 0.9722 0.5714 0.2610
Tm1 0.8123 0.8123 0.5631
Fe1 0.3198 0.3198 0.0406
```